1.
# Pm8GaTe4As3 PBE-GGA optimized geometry
data_Pm8GaTe4As3
_chemical_formula_sum 'Pm8 Ga1 Te4 As3'
_symmetry_space_group_name_H-M 'P 1'
_symmetry_Int_Tables_number 1
_symmetry_space_group_name_Hall 'P 1'
_cell_length_a 8.8023
_cell_length_b 8.8023
_cell_length_c 8.8023
_cell_angle_alpha 58.94
_cell_angle_beta 58.94
_cell_angle_gamma 58.94
loop_
_atom_site_label
_atom_site_fract_x
_atom_site_fract_y
_atom_site_fract_z
Pm1 0.2403 0.2403 0.2403
Pm2 0.2430 0.7409 0.7409
Pm3 0.2591 0.2591 0.7570
Pm4 0.2591 0.7570 0.2591
Pm5 0.7409 0.2430 0.7409
Pm6 0.7409 0.7409 0.2430
Pm7 0.7570 0.2591 0.2591
Pm8 0.7597 0.7597 0.7597
Ga1 0.5000 0.5000 0.5000
Te1 0.0000 0.0000 0.0000
Te2 0.0000 0.5000 0.5000
Te3 0.5000 0.0000 0.5000
Te4 0.5000 0.5000 0.0000
As1 0.0000 0.0000 0.5000
As2 0.0000 0.5000 0.0000
As3 0.5000 0.0000 0.0000
# Energy relative to the elements, uncorrected: -1.414 eV/atom
# N(E_F): 4.1 states/eV/cell
# SG: R-3m (166)

***

2.
# CsPmMnSe4 PBE-GGA optimized geometry
data_CsPmMnSe4
_chemical_formula_sum 'Cs2 Pm2 Mn2 Se8'
_symmetry_space_group_name_H-M 'P 1'
_symmetry_Int_Tables_number 1
_symmetry_space_group_name_Hall 'P 1'
_cell_length_a 6.7217
_cell_length_b 6.7808
_cell_length_c 10.0678
_cell_angle_alpha 90.00
_cell_angle_beta 108.90
_cell_angle_gamma 90.00
loop_
_atom_site_label
_atom_site_fract_x
_atom_site_fract_y
_atom_site_fract_z
Cs1 0.2392 0.2500 0.4393
Cs2 0.7608 0.7500 0.5607
Pm1 0.2693 0.2500 0.9543
Pm2 0.7307 0.7500 0.0457
Mn1 0.2852 0.7500 0.1691
Mn2 0.7148 0.2500 0.8309
Se1 0.0850 0.7500 0.3164
Se2 0.0989 0.7500 0.9326
Se3 0.4747 0.5092 0.7948
Se4 0.4747 0.9908 0.7948
Se5 0.5253 0.0092 0.2052
Se6 0.5253 0.4908 0.2052
Se7 0.9011 0.2500 0.0674
Se8 0.9150 0.2500 0.6836
# Energy relative to the elements, uncorrected: -1.118 eV/atom
# N(E_F): 6.6 states/eV/cell
# SG: P2_1/m (11)